Record 1
# Er6CS2, optimized geometry, DFT GGA-PBE
# Total energy in eV per atom: -5.9352
# Formation energy without anion corrections in eV per atom: -0.9512
# Calculated volume in Å³ per atom: 24.0
data_Er6CS2
_chemical_formula_sum 'Er12 C2 S4'
_space_group_name_H-M_alt 'C 1 2/m 1'
_space_group_IT_number 12
_space_group_name_Hall '-C 2y'
_cell_length_a 15.943
_cell_length_b 3.696
_cell_length_c 7.494
_cell_angle_alpha 90.00
_cell_angle_beta 102.46
_cell_angle_gamma 90.00
loop_
_atom_site_label
_atom_site_fract_x
_atom_site_fract_y
_atom_site_fract_z
Er1 0.004 0.000 0.278
Er2 0.156 0.500 0.565
Er3 0.159 0.500 0.083
C1 0.000 0.500 0.500
S1 0.169 0.000 0.830

Record 2
# Li2ZrSb, optimized geometry, DFT GGA-PBE
# Total energy in eV per atom: -4.2127
# Formation energy without anion corrections in eV per atom: -0.0881
# Calculated volume in Å³ per atom: 20.0
data_Li2ZrSb
_chemical_formula_sum 'Li2 Zr1 Sb1'
_space_group_name_H-M_alt 'P 4/m m m'
_space_group_IT_number 123
_space_group_name_Hall '-P 4 2'
_cell_length_a 3.682
_cell_length_b 3.682
_cell_length_c 5.914
_cell_angle_alpha 90.00
_cell_angle_beta 90.00
_cell_angle_gamma 90.00
loop_
_atom_site_label
_atom_site_fract_x
_atom_site_fract_y
_atom_site_fract_z
Li1 0.000 0.000 0.229
Zr1 0.500 0.500 0.500
Sb1 0.500 0.500 0.000

Record 3
# Tb2ThO, optimized geometry, DFT GGA-PBE
# Total energy in eV per atom: -6.2310
# Formation energy without anion corrections in eV per atom: -0.8214
# Calculated volume in Å³ per atom: 22.4
data_Tb2ThO
_chemical_formula_sum 'Tb2 Th1 O1'
_space_group_name_H-M_alt 'P 4/m m m'
_space_group_IT_number 123
_space_group_name_Hall '-P 4 2'
_cell_length_a 3.255
_cell_length_b 3.255
_cell_length_c 8.461
_cell_angle_alpha 90.00
_cell_angle_beta 90.00
_cell_angle_gamma 90.00
loop_
_atom_site_label
_atom_site_fract_x
_atom_site_fract_y
_atom_site_fract_z
Tb1 0.000 0.000 0.181
Th1 0.500 0.500 0.500
O1 0.500 0.500 0.000

Record 4
# TcNiH, optimized geometry, DFT GGA-PBE
# Total energy in eV per atom: -6.4620
# Calculated volume in Å³ per atom: 9.2
data_TcNiH
_chemical_formula_sum 'Tc4 Ni4 H4'
_space_group_name_H-M_alt 'C 1 m 1'
_space_group_IT_number 8
_space_group_name_Hall 'C -2y'
_cell_length_a 8.521
_cell_length_b 3.810
_cell_length_c 3.809
_cell_angle_alpha 90.00
_cell_angle_beta 116.54
_cell_angle_gamma 90.00
loop_
_atom_site_label
_atom_site_fract_x
_atom_site_fract_y
_atom_site_fract_z
Tc1 0.000 0.000 0.000
Tc2 0.250 0.000 0.750
Ni1 0.247 0.500 0.248
Ni2 0.498 0.000 0.498
H1 0.238 0.500 0.740
H2 0.488 0.500 0.488

Which value of calculated volume does entry 3 give? 22.4 Å³ per atom

What did the second record say?
# Li2ZrSb, optimized geometry, DFT GGA-PBE
# Total energy in eV per atom: -4.2127
# Formation energy without anion corrections in eV per atom: -0.0881
# Calculated volume in Å³ per atom: 20.0
data_Li2ZrSb
_chemical_formula_sum 'Li2 Zr1 Sb1'
_space_group_name_H-M_alt 'P 4/m m m'
_space_group_IT_number 123
_space_group_name_Hall '-P 4 2'
_cell_length_a 3.682
_cell_length_b 3.682
_cell_length_c 5.914
_cell_angle_alpha 90.00
_cell_angle_beta 90.00
_cell_angle_gamma 90.00
loop_
_atom_site_label
_atom_site_fract_x
_atom_site_fract_y
_atom_site_fract_z
Li1 0.000 0.000 0.229
Zr1 0.500 0.500 0.500
Sb1 0.500 0.500 0.000